Computed, not measured: an optimized crystal structure of NpZnW at the PBE-GGA level of DFT.

E_form = 0.9498 eV per atom
raw total energy = -8.048 eV per atom
total magnetic moment = 0.90 μB per atom

Cell lengths 6.2821, 6.2821, 6.2821 Å; angles 90.00, 90.00, 90.00 degrees
Positions (direct):
1 Np 0.0000 0.0000 0.0000
2 Np 0.0000 0.5000 0.5000
3 Np 0.5000 0.0000 0.5000
4 Np 0.5000 0.5000 0.0000
5 Zn 0.0000 0.0000 0.5000
6 Zn 0.0000 0.5000 0.0000
7 Zn 0.5000 0.0000 0.0000
8 Zn 0.5000 0.5000 0.5000
9 W 0.2500 0.2500 0.7500
10 W 0.2500 0.7500 0.2500
11 W 0.7500 0.2500 0.2500
12 W 0.7500 0.7500 0.7500


Computed, not measured: an optimized crystal structure of Ga7Pd3 at the PBE-GGA level of DFT.

raw total energy = -4.117 eV per atom

Cell lengths 7.6738, 7.6738, 7.6738 Å; angles 109.47, 109.47, 109.47 degrees
Positions (direct):
1 Ga 0.0000 0.0000 0.3290
2 Ga 0.0000 0.0000 0.6710
3 Ga 0.0000 0.3290 0.0000
4 Ga 0.0000 0.6710 0.0000
5 Ga 0.2500 0.5000 0.7500
6 Ga 0.2500 0.7500 0.5000
7 Ga 0.3290 0.0000 0.0000
8 Ga 0.3290 0.3290 0.3290
9 Ga 0.5000 0.2500 0.7500
10 Ga 0.5000 0.7500 0.2500
11 Ga 0.6710 0.0000 0.0000
12 Ga 0.6710 0.6710 0.6710
13 Ga 0.7500 0.2500 0.5000
14 Ga 0.7500 0.5000 0.2500
15 Pd 0.0000 0.3428 0.3428
16 Pd 0.0000 0.6572 0.6572
17 Pd 0.3428 0.0000 0.3428
18 Pd 0.3428 0.3428 0.0000
19 Pd 0.6572 0.0000 0.6572
20 Pd 0.6572 0.6572 0.0000